Record 1
DFT (SCAN) results for a PBEsol-optimized structure of ZrBe2Tc2.

symmetry = P4/mbm, No. 127
final energy = -22.291 eV per atom

Cell: 6.295 6.295 3.199 Å, 90.00 90.00 90.00°
Positions (direct):
Zr 0.000 0.000 0.000
Zr 0.500 0.500 0.000
Be 0.113 0.387 0.000
Be 0.387 0.887 0.000
Be 0.613 0.113 0.000
Be 0.887 0.613 0.000
Tc 0.173 0.673 0.500
Tc 0.327 0.173 0.500
Tc 0.673 0.827 0.500
Tc 0.827 0.327 0.500



Record 2
DFT (SCAN) results for a PBEsol-optimized structure of Tc24Sb5.

symmetry = I-43m, No. 217
E_form (uncorrected) = 173 kJ/mol of formula units

Cell: 8.286 8.286 8.286 Å, 109.47 109.47 109.47°
Positions (direct):
Tc 0.000 0.195 0.377
Tc 0.000 0.377 0.195
Tc 0.000 0.398 0.679
Tc 0.000 0.679 0.398
Tc 0.182 0.805 0.805
Tc 0.195 0.000 0.377
Tc 0.195 0.377 0.000
Tc 0.282 0.602 0.602
Tc 0.321 0.321 0.718
Tc 0.321 0.718 0.321
Tc 0.377 0.000 0.195
Tc 0.377 0.195 0.000
Tc 0.398 0.000 0.679
Tc 0.398 0.679 0.000
Tc 0.602 0.282 0.602
Tc 0.602 0.602 0.282
Tc 0.623 0.623 0.818
Tc 0.623 0.818 0.623
Tc 0.679 0.000 0.398
Tc 0.679 0.398 0.000
Tc 0.718 0.321 0.321
Tc 0.805 0.182 0.805
Tc 0.805 0.805 0.182
Tc 0.818 0.623 0.623
Sb 0.000 0.000 0.000
Sb 0.000 0.000 0.625
Sb 0.000 0.625 0.000
Sb 0.375 0.375 0.375
Sb 0.625 0.000 0.000



Record 3
DFT (SCAN) results for a PBEsol-optimized structure of InFe2I.

symmetry = Fm-3m, No. 225
E_form (uncorrected) = 370 kJ/mol of formula units

Cell: 4.545 4.545 4.545 Å, 60.00 60.00 60.00°
Positions (direct):
In 0.000 0.000 0.000
Fe 0.250 0.250 0.250
Fe 0.750 0.750 0.750
I 0.500 0.500 0.500



Record 4
DFT (SCAN) results for a PBEsol-optimized structure of LuTaOs2.

symmetry = Fm-3m, No. 225
final energy = -66.985 eV per atom

Cell: 4.538 4.538 4.538 Å, 60.00 60.00 60.00°
Positions (direct):
Lu 0.000 0.000 0.000
Ta 0.500 0.500 0.500
Os 0.250 0.250 0.250
Os 0.750 0.750 0.750



Record 5
DFT (SCAN) results for a PBEsol-optimized structure of LiRe2AsPb.

symmetry = P4/mmm, No. 123
final energy = -46.579 eV per atom

Cell: 4.477 4.477 3.955 Å, 90.00 90.00 90.00°
Positions (direct):
Li 0.000 0.000 0.000
Re 0.000 0.500 0.000
Re 0.500 0.000 0.000
As 0.000 0.000 0.500
Pb 0.500 0.500 0.500



Record 6
DFT (SCAN) results for a PBEsol-optimized structure of SrAgPb2.

symmetry = Pmmm, No. 47
final energy = -51.539 eV per atom

Cell: 3.672 3.948 7.549 Å, 90.00 90.00 90.00°
Positions (direct):
Sr 0.000 0.000 0.000
Ag 0.000 0.000 0.500
Pb 0.500 0.500 0.296
Pb 0.500 0.500 0.704